# 1
A plane-wave DFT calculation with GGA-PBE was carried out for an optimized crystal structure of BeAl2BiSe.

Total magnetization: 0.00 μB/atom
Space group: No. 123
ΔE_f (raw): 23.33 kcal/mol of atoms
E above lowest polymorph: 735.6 meV/atom
Raw total energy: -2.70 eV per atom

Lattice parameters (Å, degrees): 4.955 5.691 4.955 90.00 90.00 90.00
Fractional coordinates of all 5 atoms:
Be1 0.500 0.500 0.500
Bi1 0.000 0.500 0.000
Se1 0.000 0.000 0.000
Al1 0.000 0.000 0.500
Al2 0.500 0.000 0.000

***

# 2
A plane-wave DFT calculation with GGA-PBE was carried out for an optimized crystal structure of BeAl2BiSe.

Total magnetization: 0.00 μB/atom
Space group: No. 123
ΔE_f (raw): 6.36 kcal/mol of atoms
E above lowest polymorph: 0.0 meV/atom
Raw total energy: -3.44 eV per atom

Lattice parameters (Å, degrees): 4.415 5.567 4.415 90.00 90.00 90.00
Fractional coordinates of all 5 atoms:
Be1 0.000 0.000 0.000
Bi1 0.000 0.500 0.000
Se1 0.500 0.500 0.500
Al1 0.000 0.000 0.500
Al2 0.500 0.000 0.000